The following is a DFT calculation (PBE) of a relaxed structure of Ce2GaFe2Co5.

Lattice parameters (Å, degrees): 8.5941 8.5941 3.8651 90.00 90.00 90.00
Sites, in units of the cell vectors:
1 Ce 0.1617 0.3383 0.0000
2 Ce 0.3383 0.8383 0.0000
3 Ce 0.6617 0.1617 0.0000
4 Ce 0.8383 0.6617 0.0000
5 Ga 0.0000 0.0000 0.0000
6 Ga 0.5000 0.5000 0.0000
7 Fe 0.1516 0.6516 0.0000
8 Fe 0.3484 0.1516 0.0000
9 Fe 0.6516 0.8484 0.0000
10 Fe 0.8484 0.3484 0.0000
11 Co 0.0000 0.5000 0.5000
12 Co 0.0680 0.8072 0.5000
13 Co 0.1928 0.0680 0.5000
14 Co 0.3072 0.5680 0.5000
15 Co 0.4320 0.3072 0.5000
16 Co 0.5000 0.0000 0.5000
17 Co 0.5680 0.6928 0.5000
18 Co 0.6928 0.4320 0.5000
19 Co 0.8072 0.9320 0.5000
20 Co 0.9320 0.1928 0.5000

Values from the calculation:
Crystal system: tetragonal
SG: P4/mbm
ΔE_f: -0.0794 eV/atom